(1)
LaTa2Cr: optimized geometry, PBE.

a = 3.144 Å, b = 3.144 Å, c = 27.799 Å
α = 90.00°, β = 90.00°, γ = 120.00°
Atoms (fractional coordinates):
1 La 0.000 0.000 0.000
2 La 0.333 0.667 0.667
3 La 0.667 0.333 0.333
4 Ta 0.000 0.000 0.516
5 Ta 0.000 0.000 0.769
6 Ta 0.333 0.667 0.183
7 Ta 0.333 0.667 0.435
8 Ta 0.667 0.333 0.102
9 Ta 0.667 0.333 0.850
10 Cr 0.000 0.000 0.247
11 Cr 0.333 0.667 0.914
12 Cr 0.667 0.333 0.581

Summary:
Energy of formation in eV/f.u.: 2.5
Energy above the most stable polymorph in this dataset in meV per atom: 314.7
Space group: R3m
Crystal system: trigonal
Raw total energy in eV per atom: -8.950

(2)
LaTa2Cr: optimized geometry, PBE.

a = 3.299 Å, b = 4.777 Å, c = 5.050 Å
α = 90.00°, β = 90.00°, γ = 90.00°
Atoms (fractional coordinates):
1 La 0.000 0.000 0.000
2 Ta 0.000 0.500 0.500
3 Ta 0.500 0.000 0.500
4 Cr 0.500 0.500 0.000

Summary:
Energy of formation in eV/f.u.: 2.6
Energy above the most stable polymorph in this dataset in meV per atom: 344.9
Space group: Pmmm
Crystal system: orthorhombic
Raw total energy in eV per atom: -8.920